Version A
An optimized crystal structure of CoCu2O4, computed with PBE+U. Values from VASP.

The structure in Quantum ESPRESSO input format:
```
&SYSTEM
  ibrav = 0, nat = 7, ntyp = 3
/
ATOMIC_SPECIES
Cu 63.55 Cu.upf
O 16.00 O.upf
Co 58.93 Co.upf
CELL_PARAMETERS angstrom
4.578 0.417 1.835
-2.609 4.014 1.258
-0.271 0.420 4.926
ATOMIC_POSITIONS crystal
Cu 0.500 0.750 0.750
Cu 0.500 0.250 0.250
O 0.183 0.793 0.610
O 0.404 0.611 0.206
O 0.817 0.207 0.390
O 0.596 0.389 0.794
Co 0.000 0.500 0.500
```

Version B
An optimized crystal structure of CoCu2O4, computed with PBE+U. Values from VASP.

The structure in Quantum ESPRESSO input format:
```
&SYSTEM
  ibrav = 0, nat = 14, ntyp = 3
/
ATOMIC_SPECIES
O 16.00 O.upf
Cu 63.55 Cu.upf
Co 58.93 Co.upf
CELL_PARAMETERS angstrom
-3.634 -1.406 -3.729
1.091 -2.950 4.381
-4.038 2.789 2.883
ATOMIC_POSITIONS crystal
O 0.746 0.746 0.000
O 0.500 0.000 0.250
O 0.254 0.254 0.500
O 0.500 0.000 0.750
O 0.746 0.746 0.500
O 0.254 0.254 0.000
O 0.000 0.500 0.250
O 0.000 0.500 0.750
Cu 0.170 0.830 0.500
Cu 0.170 0.830 0.000
Cu 0.830 0.170 0.000
Cu 0.830 0.170 0.500
Co 0.500 0.500 0.250
Co 0.500 0.500 0.750
```

Which of them is most stable, and which least? Most stable: version B; least stable: version A.

Version A
An optimized crystal structure of CoCuPO2, computed with PBE+U. Values from VASP.

The structure in Quantum ESPRESSO input format:
```
&SYSTEM
  ibrav = 0, nat = 5, ntyp = 4
/
ATOMIC_SPECIES
P 30.97 P.upf
Cu 63.55 Cu.upf
O 16.00 O.upf
Co 58.93 Co.upf
CELL_PARAMETERS angstrom
3.520 0.000 0.000
0.000 3.520 0.000
0.000 0.000 5.093
ATOMIC_POSITIONS crystal
P 0.000 0.000 0.500
Cu 0.500 0.500 0.500
O 0.500 0.000 0.000
O 0.000 0.500 0.000
Co 0.000 0.000 0.000
```

Version B
An optimized crystal structure of CoCuPO2, computed with PBE+U. Values from VASP.

The structure in Quantum ESPRESSO input format:
```
&SYSTEM
  ibrav = 0, nat = 5, ntyp = 4
/
ATOMIC_SPECIES
O 16.00 O.upf
Co 58.93 Co.upf
Cu 63.55 Cu.upf
P 30.97 P.upf
CELL_PARAMETERS angstrom
-0.991 -2.106 2.793
3.426 -1.170 0.333
0.969 3.736 3.161
ATOMIC_POSITIONS crystal
O 0.000 0.500 0.000
O 0.500 0.000 0.000
Co 0.500 0.500 0.500
Cu 0.000 0.000 0.000
P 0.000 0.000 0.500
```

Which of them is most stable, and which least? Most stable: version A; least stable: version B.